DFT (GGA-PBE) results for a relaxed structure of CsVP2Se8.

Results
* M_tot: 0.01 Bohr magnetons per cell
* symmetry: No. 148
* calculated volume: 30.15 Å³ per atom
* formation energy from raw total energies: -328 meV per atom
* electronic total energy: -52.610 eV/cell

Lattice parameters (Å, degrees): 6.2958 6.2958 11.1481 73.60 73.60 60.00
Fractional coordinates of all 12 atoms:
Cs 0.5000 0.5000 0.5000
V 0.0000 0.0000 0.0000
P 0.2686 0.2686 0.1942
P 0.7314 0.7314 0.8058
Se 0.2005 0.2005 0.3986
Se 0.6379 0.2912 0.1303
Se 0.7995 0.7995 0.6014
Se 0.9405 0.6379 0.1303
Se 0.0595 0.3621 0.8697
Se 0.2912 0.9405 0.1303
Se 0.7088 0.0595 0.8697
Se 0.3621 0.7088 0.8697

=====

DFT (GGA-PBE) results for a relaxed structure of CsZnPSe2.

Results
* M_tot: 0.00 Bohr magnetons per cell
* symmetry: No. 123
* calculated volume: 32.76 Å³ per atom
* formation energy from raw total energies: 156 meV per atom
* electronic total energy: -13.724 eV/cell

Lattice parameters (Å, degrees): 4.9766 6.6134 4.9766 90.00 90.00 90.00
Fractional coordinates of all 5 atoms:
Cs 0.0000 0.5000 0.0000
P 0.0000 0.0000 0.0000
Zn 0.5000 0.5000 0.5000
Se 0.0000 0.0000 0.5000
Se 0.5000 0.0000 0.0000

=====

DFT (GGA-PBE) results for a relaxed structure of CsSiP2.

Results
* M_tot: 0.00 Bohr magnetons per cell
* symmetry: No. 166
* calculated volume: 24.64 Å³ per atom
* formation energy from raw total energies: 106 meV per atom
* electronic total energy: -16.672 eV/cell

Lattice parameters (Å, degrees): 4.1751 4.1751 6.9584 72.54 72.54 60.00
Fractional coordinates of all 4 atoms:
Cs 0.0000 0.0000 0.0000
P 0.8026 0.8026 0.5923
P 0.1974 0.1974 0.4077
Si 0.5000 0.5000 0.5000